## NaYIF2 (GGA-PBE)

Data for a geometry-optimized NaYIF2 structure.

a b c (Å): 4.3535 4.3535 5.5308
angles (deg): 90.00 90.00 90.00
Closest atoms and distances in Å follow each position.
Positions (direct):
Na  0.0000  0.0000  0.0000  4 F 2.18
Y  0.5000  0.5000  0.5000  4 I 3.08
I  0.0000  0.0000  0.5000  2 Na 2.77, 4 Y 3.08
F  0.0000  0.5000  0.0000  2 Na 2.18
F  0.5000  0.0000  0.0000  2 Na 2.18

Uncorrected formation energy ... -1742 meV per atom
Raw total energy ... -4.357 eV per atom
Calculated density ... 4.38 g cm⁻³


## NaY2IF (GGA-PBE)

Data for a geometry-optimized NaY2IF structure.

a b c (Å): 4.7116 4.7116 6.3138
angles (deg): 90.00 90.00 90.00
Closest atoms and distances in Å follow each position.
Positions (direct):
Na  0.0000  0.0000  0.0000  4 I 3.33
Y  0.0000  0.5000  0.5000  2 F 2.36
Y  0.5000  0.0000  0.5000  2 F 2.36
I  0.5000  0.5000  0.0000  2 F 3.16, 4 Na 3.33
F  0.5000  0.5000  0.5000  4 Y 2.36

Uncorrected formation energy ... -1000 meV per atom
Raw total energy ... -4.534 eV per atom
Calculated density ... 4.11 g cm⁻³


## NaZnI2F (GGA-PBE)

Data for a geometry-optimized NaZnI2F structure.

a b c (Å): 5.7500 5.7500 4.0468
angles (deg): 90.00 90.00 90.00
Closest atoms and distances in Å follow each position.
Positions (direct):
Na  0.0000  0.0000  0.0000  8 I 3.52
Zn  0.5000  0.5000  0.5000  2 F 2.02
I  0.0000  0.5000  0.5000  2 Zn 2.87
I  0.5000  0.0000  0.5000  2 Zn 2.87
F  0.5000  0.5000  0.0000  2 Zn 2.02

Uncorrected formation energy ... -1193 meV per atom
Raw total energy ... -2.706 eV per atom
Offset from the most stable computed form ... 0.000 eV per atom
Calculated density ... 4.48 g cm⁻³


## NaZnI2F (GGA-PBE)

Data for a geometry-optimized NaZnI2F structure.

a b c (Å): 5.7842 5.7842 4.1465
angles (deg): 90.00 90.00 90.00
Closest atoms and distances in Å follow each position.
Positions (direct):
Na  0.0000  0.0000  0.0000  2 F 2.07
Zn  0.5000  0.5000  0.0000  8 I 3.56
I  0.0000  0.5000  0.5000  2 F 2.89
I  0.5000  0.0000  0.5000  2 F 2.89
F  0.0000  0.0000  0.5000  2 Na 2.07

Uncorrected formation energy ... -599 meV per atom
Raw total energy ... -2.112 eV per atom
Offset from the most stable computed form ... 0.594 eV per atom
Calculated density ... 4.32 g cm⁻³


## Nb2I4F (GGA-PBE)

Data for a geometry-optimized Nb2I4F structure.

a b c (Å): 10.9452 7.6597 10.1870
angles (deg): 74.14 42.31 63.55
Closest atoms and distances in Å follow each position.
Positions (direct):
Nb  0.0124  0.9876  0.8586  1 F 2.16
Nb  0.1086  0.3914  0.2624  1 F 2.16
Nb  0.3914  0.1086  0.2376  1 F 2.16
Nb  0.9876  0.0124  0.1414  1 F 2.16
I  0.0231  0.3167  0.6173  3 Nb 2.89-2.98
I  0.2071  0.6327  0.9333  3 Nb 2.89-2.98
I  0.3167  0.0231  0.0429  3 Nb 2.89-2.98
I  0.3544  0.7868  0.4656  2 Nb 2.83-2.91
I  0.6327  0.2071  0.2269  3 Nb 2.89-2.98
I  0.7844  0.8568  0.8956  2 Nb 2.83-2.91
I  0.7868  0.3544  0.3932  2 Nb 2.83-2.91
I  0.8568  0.7844  0.4632  2 Nb 2.83-2.91
F  0.1366  0.1366  0.8634  2 Nb 2.16
F  0.3866  0.3866  0.1134  2 Nb 2.16

Uncorrected formation energy ... -657 meV per atom
Raw total energy ... -4.687 eV per atom
Calculated density ... 4.62 g cm⁻³


## NbI2F (GGA-PBE)

Data for a geometry-optimized NbI2F structure.

a b c (Å): 3.7645 4.1966 8.6608
angles (deg): 89.22 77.51 90.00
Closest atoms and distances in Å follow each position.
Positions (direct):
Nb  0.0000  0.0000  0.0000  2 F 2.10
I  0.3747  0.9930  0.2520  2 Nb 2.84
I  0.6253  0.0070  0.7480  2 Nb 2.84
F  0.0000  0.5000  0.0000  2 Nb 2.10

Uncorrected formation energy ... -1123 meV per atom
Raw total energy ... -4.883 eV per atom
Offset from the most stable computed form ... 0.000 eV per atom
Calculated density ... 4.55 g cm⁻³


## NbIF4 (GGA-PBE)

Data for a geometry-optimized NbIF4 structure.

a b c (Å): 9.2541 9.2541 5.6981
angles (deg): 103.21 103.21 35.11
Closest atoms and distances in Å follow each position.
Positions (direct):
Nb  0.0248  0.0248  0.3095  5 F 1.89-2.11
Nb  0.9752  0.9752  0.6905  5 F 1.89-2.11
I  0.2641  0.2641  0.9501  2 I 2.92
I  0.7359  0.7359  0.0499  2 I 2.92
F  0.1321  0.1321  0.3118  1 Nb 1.89
F  0.1577  0.7150  0.3784  2 Nb 2.10-2.14, 1 F 2.34
F  0.2210  0.7790  0.0000  2 Nb 2.11
F  0.2850  0.8423  0.6216  2 Nb 2.10-2.14, 1 F 2.34
F  0.7150  0.1577  0.3784  2 Nb 2.10-2.14, 1 F 2.34
F  0.7790  0.2210  0.0000  2 Nb 2.11
F  0.8423  0.2850  0.6216  2 Nb 2.10-2.14, 1 F 2.34
F  0.8679  0.8679  0.6882  1 Nb 1.89

Uncorrected formation energy ... -2321 meV per atom
Raw total energy ... -5.505 eV per atom
Calculated density ... 3.61 g cm⁻³


## Nb2IF (GGA-PBE)

Data for a geometry-optimized Nb2IF structure.

a b c (Å): 8.9573 8.9573 8.9573
angles (deg): 151.64 151.64 40.53
Closest atoms and distances in Å follow each position.
Positions (direct):
Nb  0.0385  0.6250  0.9135  2 F 2.48, 2 Nb 2.62
Nb  0.3750  0.2885  0.4135  2 F 2.48, 2 Nb 2.62
Nb  0.7115  0.1250  0.0865  2 F 2.48, 2 Nb 2.62
Nb  0.8750  0.9615  0.5865  2 F 2.48, 2 Nb 2.62
I  0.2500  0.7500  0.5000  4 Nb 2.79, 4 F 3.10
I  0.5000  0.5000  0.0000  4 Nb 2.79, 4 F 3.10
F  0.0000  0.0000  0.0000  4 Nb 2.48
F  0.7500  0.2500  0.5000  4 Nb 2.48

Uncorrected formation energy ... -55 meV per atom
Raw total energy ... -5.946 eV per atom
Offset from the most stable computed form ... 0.000 eV per atom
Calculated density ... 6.81 g cm⁻³